! SrPuPd10 PBE-GGA optimized geometry; values from VASP
&SYSTEM
  ibrav = 0, nat = 12, ntyp = 3
/
ATOMIC_SPECIES
Pu 244.00 Pu.upf
Pd 106.42 Pd.upf
Sr 87.62 Sr.upf
ATOMIC_POSITIONS crystal
Pu 0.0000 0.5000 0.5000
Pd 0.5000 0.2518 0.2541
Pd 0.5000 0.7482 0.2541
Pd 0.5000 0.0000 0.5000
Pd 0.5000 0.2518 0.7459
Pd 0.5000 0.7482 0.7459
Pd 0.0000 0.5000 0.1788
Pd 0.0000 0.0000 0.3405
Pd 0.0000 0.0000 0.6595
Pd 0.5000 0.5000 0.0000
Pd 0.0000 0.5000 0.8212
Sr 0.0000 0.0000 0.0000
CELL_PARAMETERS angstrom
-0.6228 1.9467 4.0051
-4.0911 -3.3394 0.9869
5.9056 -6.0890 3.8778
! Energy of formation = -0.341 eV per atom
! Space-group type = No. 47
! Size of the total moment = 0.374 μB per atom
! DOS(E_F) = 25.9 states/eV/f.u.